[1]
{"formula": "Tl3SiI", "functional": "PBE-GGA", "state": "optimized geometry", "n_ef_per_ev_cell": 1.7, "polymorph_energy_ev_per_atom": 0.000, "crystal_system": "cubic", "total_energy_ha_per_atom": -0.100, "formation_energy_uncorrected_ev_per_fu": 0.44, "lattice_angstrom": [[5.645, 0.000, 0.000], [0.000, 5.645, 0.000], [0.000, 0.000, 5.645]], "species": ["Tl", "Tl", "Tl", "Si", "I"], "frac_coords": [[0.000, 0.000, 0.500], [0.000, 0.500, 0.000], [0.500, 0.000, 0.000], [0.000, 0.000, 0.000], [0.500, 0.500, 0.500]]}

=====

[2]
{"formula": "TbPm8Pr3", "functional": "PBE-GGA", "state": "optimized geometry", "n_ef_per_ev_cell": 15.2, "delta_e_f_ev_per_atom": 0.286, "crystal_system": "orthorhombic", "total_energy_ha_per_atom": -0.164, "lattice_angstrom": [[-3.312, 5.746, 5.849], [3.312, -5.746, 5.849], [3.312, 5.746, -5.849]], "species": ["Tb", "Pm", "Pm", "Pm", "Pm", "Pm", "Pm", "Pm", "Pm", "Pr", "Pr", "Pr"], "frac_coords": [[0.000, 0.000, 0.000], [0.083, 0.249, 0.834], [0.243, 0.255, 0.498], [0.243, 0.745, 0.987], [0.415, 0.249, 0.166], [0.585, 0.751, 0.834], [0.757, 0.255, 0.013], [0.757, 0.745, 0.502], [0.917, 0.751, 0.166], [0.246, 0.746, 0.500], [0.500, 0.500, 0.000], [0.754, 0.254, 0.500]]}

=====

[3]
{"formula": "MnInAg", "functional": "PBE-GGA", "state": "optimized geometry", "n_ef_per_ev_cell": 2.2, "delta_e_f_ev_per_atom": 0.229, "crystal_system": "trigonal", "total_energy_ha_per_atom": -0.172, "lattice_angstrom": [[4.669, 0.000, 0.000], [-2.335, 4.044, 0.000], [0.000, 0.000, 2.961]], "species": ["Mn", "In", "Ag"], "frac_coords": [[0.000, 0.000, 0.000], [0.667, 0.333, 0.577], [0.333, 0.667, 0.417]]}

=====

[4]
{"formula": "Li2AcZr", "functional": "PBE-GGA", "state": "optimized geometry", "n_ef_per_ev_cell": 4.4, "delta_e_f_ev_per_atom": 0.567, "crystal_system": "trigonal", "total_energy_ha_per_atom": -0.131, "lattice_angstrom": [[1.641, 0.947, 12.216], [-1.641, 0.947, 12.216], [0.000, -1.895, 12.216]], "species": ["Li", "Li", "Ac", "Zr"], "frac_coords": [[0.082, 0.082, 0.082], [0.918, 0.918, 0.918], [0.500, 0.500, 0.500], [0.000, 0.000, 0.000]]}

=====

[5]
{"formula": "NaLiAlTl", "functional": "PBE-GGA", "state": "optimized geometry", "n_ef_per_ev_cell": 1.4, "delta_e_f_ev_per_atom": -0.007, "crystal_system": "cubic", "total_energy_ha_per_atom": -0.086, "lattice_angstrom": [[0.000, 3.501, 3.501], [3.501, 0.000, 3.501], [3.501, 3.501, 0.000]], "species": ["Na", "Li", "Al", "Tl"], "frac_coords": [[0.000, 0.000, 0.000], [0.750, 0.750, 0.750], [0.250, 0.250, 0.250], [0.500, 0.500, 0.500]]}

=====

[6]
{"formula": "YMg3S", "functional": "PBE-GGA", "state": "optimized geometry", "n_ef_per_ev_cell": 2.7, "polymorph_energy_ev_per_atom": 1.284, "crystal_system": "cubic", "total_energy_ha_per_atom": -0.071, "formation_energy_uncorrected_ev_per_fu": 5.77, "lattice_angstrom": [[5.988, 0.000, 0.000], [0.000, 5.988, 0.000], [0.000, 0.000, 5.988]], "species": ["Y", "Mg", "Mg", "Mg", "S"], "frac_coords": [[0.000, 0.000, 0.000], [0.000, 0.000, 0.500], [0.000, 0.500, 0.000], [0.500, 0.000, 0.000], [0.500, 0.500, 0.500]]}

=====

[7]
{"formula": "Li2USbTe4", "functional": "PBE-GGA", "state": "optimized geometry", "n_ef_per_ev_cell": 5.0, "crystal_system": "monoclinic", "total_energy_ha_per_atom": -0.167, "formation_energy_uncorrected_ev_per_fu": -4.59, "lattice_angstrom": [[7.436, 0.000, 0.000], [0.000, 4.366, 0.000], [-2.581, 0.000, 7.215]], "species": ["Li", "Li", "U", "Sb", "Te", "Te", "Te", "Te"], "frac_coords": [[0.000, 0.000, 0.000], [0.000, 0.500, 0.500], [0.500, 0.000, 0.500], [0.500, 0.500, 0.000], [0.240, 0.500, 0.245], [0.242, 0.000, 0.750], [0.758, 0.000, 0.250], [0.760, 0.500, 0.755]]}

=====

[8]
{"formula": "Li2MoRu", "functional": "PBE-GGA", "state": "optimized geometry", "n_ef_per_ev_cell": 2.9, "polymorph_energy_ev_per_atom": 0.042, "delta_e_f_ev_per_atom": 0.244, "crystal_system": "orthorhombic", "total_energy_ha_per_atom": -0.211, "lattice_angstrom": [[-1.550, 2.004, 4.674], [1.550, -2.004, 4.674], [1.550, 2.004, -4.674]], "species": ["Li", "Li", "Mo", "Ru"], "frac_coords": [[0.243, 0.243, 0.000], [0.757, 0.757, 0.000], [0.500, 0.000, 0.500], [0.000, 0.500, 0.500]]}